Entry 1:
VASP calculation (PBE) on a relaxed structure of NdDy3Te3.

Structure (POSCAR):
```
NdDy3Te3
1.0
7.215 0.000 0.000
3.608 6.249 0.000
3.608 2.083 10.450
Te Nd Dy
6 2 6
Cartesian
8.543 6.241 1.920 Te
9.676 4.054 8.530 Te
8.349 1.979 1.920 Te
6.082 6.353 8.530 Te
4.754 4.278 1.920 Te
5.888 2.091 8.530 Te
10.823 6.249 10.444 Nd
3.608 2.083 0.007 Nd
8.472 6.181 6.630 Dy
6.099 6.262 3.820 Dy
5.958 2.151 3.820 Dy
8.332 2.069 6.630 Dy
4.842 4.247 6.630 Dy
9.589 4.085 3.820 Dy
```

Values from the calculation:
Raw formation energy   -954 meV per atom
Total moment   1.0 μB/f.u.

***

Entry 2:
VASP calculation (PBE) on a relaxed structure of ZrAsF2.

Structure (POSCAR):
```
ZrAsF2
1.0
-5.575 5.078 7.517
-7.684 4.947 5.463
-7.274 2.679 7.300
F Zr As
2 1 1
Cartesian
-2.436 1.507 2.406 F
-18.096 11.197 17.874 F
-10.266 6.352 10.140 Zr
0.000 0.000 0.000 As
```

Values from the calculation:
Distance to the lowest polymorph of the same formula   104 meV per atom
Raw formation energy   -1773 meV per atom
Total moment   0.2 μB/f.u.

***

Entry 3:
VASP calculation (PBE) on a relaxed structure of Tl2ZnGeS4.

Structure (POSCAR):
```
Tl2ZnGeS4
1.0
-3.364 -1.506 5.192
-4.582 -6.679 -4.907
5.242 -5.022 1.940
S Ge Tl Zn
8 2 4 2
Cartesian
-2.985 -4.290 4.014 S
-4.341 -9.731 1.094 S
-0.951 -9.356 -0.042 S
0.934 -3.697 2.460 S
-0.283 -6.878 5.014 S
-3.492 -6.922 -0.983 S
-1.737 -1.303 1.322 S
-7.099 -7.376 0.092 S
-3.096 -9.119 -0.686 Ge
-0.600 -0.848 -0.573 Ge
0.818 -6.647 2.160 Tl
-2.285 -9.691 3.171 Tl
-4.997 -7.093 2.167 Tl
-1.712 -4.223 1.224 Tl
-5.745 -6.670 -1.741 Zn
2.091 -3.278 0.417 Zn
```

Values from the calculation:
Raw formation energy   -465 meV per atom
Total moment   0.0 μB/f.u.

***

Entry 4:
VASP calculation (PBE) on a relaxed structure of LaTbGdHo.

Structure (POSCAR):
```
LaTbGdHo
1.0
-3.806 2.682 -3.369
-5.556 0.111 1.464
-2.415 4.916 1.740
Tb Ho La Gd
1 1 1 1
Cartesian
0.000 0.000 0.000 Tb
-5.889 3.854 -0.082 Ho
-2.944 1.927 -0.041 La
-8.833 5.781 -0.123 Gd
```

Values from the calculation:
ΔH_f (0 K)   0.11 eV/atom
Total moment   7.8 μB/f.u.

***

Entry 5:
VASP calculation (PBE) on a relaxed structure of PaCd2TeO6.

Structure (POSCAR):
```
PaCd2TeO6
1.0
4.423 0.000 0.000
0.000 6.178 0.000
0.000 0.000 6.178
Cd O Pa Te
2 6 1 1
Cartesian
4.337 3.089 0.000 Cd
4.337 0.000 3.089 Cd
3.106 4.625 1.553 O
3.106 1.553 1.553 O
0.974 0.000 0.000 O
3.106 1.553 4.625 O
0.723 3.089 3.089 O
3.106 4.625 4.625 O
2.871 3.089 3.089 Pa
2.846 0.000 0.000 Te
```

Values from the calculation:
Raw formation energy   -1601 meV per atom
Total moment   0.0 μB/f.u.

***

Entry 6:
VASP calculation (PBE) on a relaxed structure of Zr2TlSe.

Structure (POSCAR):
```
Zr2TlSe
1.0
3.524 0.000 0.000
1.762 3.052 0.000
1.762 1.017 8.389
Tl Se Zr
1 1 2
Cartesian
3.524 2.035 4.193 Tl
3.524 2.035 0.005 Se
1.762 1.017 1.794 Zr
1.762 1.017 6.591 Zr
```

Values from the calculation:
Distance to the lowest polymorph of the same formula   21 meV per atom
Raw formation energy   -561 meV per atom
Total moment   0.0 μB/f.u.

***

Entry 7:
VASP calculation (PBE) on a relaxed structure of TcTeRu2Br.

Structure (POSCAR):
```
TcTeRu2Br
1.0
-2.588 3.589 1.344
-1.390 0.632 -4.366
-3.571 -2.847 0.725
Te Tc Br Ru
1 1 1 2
Cartesian
-3.775 0.687 -1.149 Te
-0.695 0.316 -2.183 Tc
0.000 0.000 0.000 Br
-1.294 1.794 0.672 Ru
-1.786 -1.423 0.362 Ru
```

Values from the calculation:
Distance to the lowest polymorph of the same formula   0 meV per atom
Raw formation energy   1498 meV per atom
Total moment   0.1 μB/f.u.

***

Entry 8:
VASP calculation (PBE) on a relaxed structure of CaCN.

Structure (POSCAR):
```
CaCN
1.0
3.082 0.000 0.000
1.541 4.620 -0.377
1.541 -0.293 4.626
C Ca N
2 2 2
Cartesian
3.082 0.520 0.511 C
3.082 3.807 3.738 C
3.082 3.242 1.026 Ca
3.082 1.085 3.223 Ca
1.541 1.035 1.016 N
4.622 3.292 3.233 N
```

Values from the calculation:
Distance to the lowest polymorph of the same formula   844 meV per atom
Raw formation energy   304 meV per atom
Total moment   0.0 μB/f.u.

***

Entry 9:
VASP calculation (PBE) on a relaxed structure of GdMgCdCo.

Structure (POSCAR):
```
GdMgCdCo
1.0
4.875 0.000 0.000
2.437 4.222 0.000
2.437 1.407 3.980
Gd Cd Co Mg
1 1 1 1
Cartesian
4.875 2.814 1.990 Gd
7.312 4.222 2.985 Cd
2.437 1.407 0.995 Co
0.000 0.000 0.000 Mg
```

Values from the calculation:
ΔH_f (0 K)   0.01 eV/atom
Total moment   8.0 μB/f.u.

***

Entry 10:
VASP calculation (PBE) on a relaxed structure of HoThI.

Structure (POSCAR):
```
HoThI
1.0
-2.259 -2.608 1.339
4.287 -2.999 1.391
-2.053 3.578 3.506
Th Ho I
1 1 1
Cartesian
-0.001 -0.001 0.000 Th
1.044 -2.111 2.766 Ho
-1.068 0.083 3.470 I
```

Values from the calculation:
Distance to the lowest polymorph of the same formula   372 meV per atom
Raw formation energy   -22 meV per atom
Total moment   0.0 μB/f.u.

***

Entry 11:
VASP calculation (PBE) on a relaxed structure of KTaPb.

Structure (POSCAR):
```
KTaPb
1.0
-2.909 -2.853 3.241
2.183 -2.262 4.150
-1.058 1.762 4.783
Pb K Ta
1 1 1
Cartesian
0.000 0.000 0.000 Pb
-1.338 -2.515 9.130 K
-0.892 -1.677 6.087 Ta
```

Values from the calculation:
ΔH_f (0 K)   2.05 eV/atom
Distance to the lowest polymorph of the same formula   1374 meV per atom
Total moment   2.3 μB/f.u.

***

Entry 12:
VASP calculation (PBE) on a relaxed structure of SrPuNbO6.

Structure (POSCAR):
```
SrPuNbO6
1.0
-1.883 5.276 -0.006
-2.923 -4.021 -2.583
-5.277 -1.873 8.889
O Nb Sr Pu
12 2 2 2
Cartesian
-6.429 -0.488 4.095 O
-6.392 -4.077 5.958 O
-3.108 2.626 3.111 O
-6.976 -3.244 3.189 O
-3.692 3.459 0.343 O
-4.543 -2.661 4.757 O
-8.560 -2.292 5.047 O
-1.524 1.674 1.254 O
-5.541 2.043 1.544 O
-6.308 -1.199 6.613 O
-3.655 -0.130 2.205 O
-3.776 0.581 -0.313 O
-3.549 1.709 1.357 Nb
-6.535 -2.327 4.943 Nb
0.000 0.000 0.000 Sr
-2.639 -0.937 4.445 Sr
-6.188 0.772 5.802 Pu
-3.896 -1.390 0.498 Pu
```

Values from the calculation:
Raw formation energy   -2795 meV per atom
Total moment   3.0 μB/f.u.

***

> Number 1 is which compound?

NdDy3Te3

***

> total moment of number 11 (KTaPb)?

2.3 μB/f.u.

***

> Among the records above, which one has the highest total moment?

GdMgCdCo